Entry 1:
Computed, not measured: a relaxed Ge3I5Br crystal at the PBE level of DFT.

POSCAR file:
```
Ge3I5Br
1.0
4.362 0.000 0.000
0.000 9.666 -3.343
0.000 0.052 15.798
Ge I Br
6 10 2
Cartesian
0.000 0.000 0.000
2.181 4.833 -1.671
0.000 3.322 9.607
2.181 1.641 4.744
2.181 8.078 7.712
0.000 6.396 2.848
0.000 2.878 -0.995
0.000 6.788 -2.347
0.000 0.381 10.414
2.181 2.649 7.660
2.181 9.051 10.526
0.000 6.134 8.425
0.000 3.584 4.031
2.181 0.667 1.930
2.181 7.070 4.796
0.000 9.337 2.041
2.181 3.937 11.386
2.181 5.781 1.070
```

Calculated values
* space-group type: No. 65
* E_form (uncorrected): -0.295 eV/atom


Entry 2:
Computed, not measured: a relaxed Ge2I3Br crystal at the PBE level of DFT.

POSCAR file:
```
Ge2I3Br
1.0
-0.751 -2.649 3.223
9.107 -2.144 3.146
-1.555 7.791 8.830
Ge I Br
4 6 2
Cartesian
1.286 3.734 11.732
5.515 -0.736 3.467
-0.339 2.988 7.952
7.140 0.010 7.246
-0.761 5.969 7.517
7.562 -2.971 7.682
4.195 4.083 12.696
2.606 -1.085 2.503
5.964 0.309 10.005
0.837 2.689 5.193
2.210 3.545 9.004
4.591 -0.547 6.194
```

Calculated values
* space-group type: No. 12
* ΔE to the lowest computed polymorph: 0 meV/atom
* E_form (uncorrected): -0.381 eV/atom


Entry 3:
Computed, not measured: a relaxed GeIBr4 crystal at the PBE level of DFT.

POSCAR file:
```
GeIBr4
1.0
-3.462 -5.405 0.689
2.108 -2.709 -6.222
7.118 1.272 3.884
Ge I Br
1 1 4
Cartesian
6.488 -2.966 0.794
3.385 -5.549 -3.699
4.204 -3.336 1.085
0.352 -6.386 -3.317
6.871 -1.784 -1.150
0.269 -3.253 -1.212
```

Calculated values
* space-group type: No. 1
* E_form (uncorrected): -0.332 eV/atom


Entry 4:
Computed, not measured: a relaxed GeIBr2 crystal at the PBE level of DFT.

POSCAR file:
```
GeIBr2
1.0
1.899 0.000 13.843
-0.950 1.645 13.843
-0.950 -1.645 13.843
I Ge Br
1 1 2
Cartesian
0.000 0.000 20.765
0.000 0.000 0.000
0.000 0.000 38.848
0.000 0.000 2.682
```

Calculated values
* space-group type: No. 166
* ΔE to the lowest computed polymorph: 480 meV/atom
* E_form (uncorrected): 0.229 eV/atom


Entry 5:
Computed, not measured: a relaxed Ge2IBr crystal at the PBE level of DFT.

POSCAR file:
```
Ge2IBr
1.0
5.134 -0.954 0.165
2.344 -0.896 4.582
1.731 -4.792 1.156
I Ge Br
1 2 1
Cartesian
4.604 -3.321 2.951
2.302 -1.660 1.476
6.907 -4.981 4.427
0.000 0.000 0.000
```

Calculated values
* space-group type: No. 225
* ΔE to the lowest computed polymorph: 79 meV/atom
* E_form (uncorrected): 0.315 eV/atom


Entry 6:
Computed, not measured: a relaxed K2GeI2Br2 crystal at the PBE level of DFT.

POSCAR file:
```
K2GeI2Br2
1.0
-2.772 1.436 -3.237
5.490 -2.120 -5.649
-1.525 -7.151 -4.994
K Ge I Br
2 1 2 2
Cartesian
2.379 -6.144 -7.894
-1.187 -1.691 -5.986
0.000 0.000 0.000
-1.378 -6.690 -8.040
2.570 -1.145 -5.840
-0.705 -4.523 -4.531
1.898 -3.312 -9.349
```

Calculated values
* space-group type: No. 12
* E_form (uncorrected): -1.083 eV/atom


Entry 7:
Computed, not measured: a relaxed La8Ge3IBr4 crystal at the PBE level of DFT.

POSCAR file:
```
La8Ge3IBr4
1.0
-2.086 -7.956 3.579
4.119 -4.069 -6.645
4.271 6.156 4.932
La Ge I Br
8 3 1 4
Cartesian
6.659 0.943 0.853
4.712 -1.863 -1.395
2.836 -0.009 1.633
5.708 -2.684 2.485
0.596 -3.186 -0.618
3.468 -5.861 0.233
1.592 -4.007 3.261
-0.355 -6.813 1.013
1.016 -6.013 -1.533
3.152 -2.935 0.933
4.195 1.043 -0.857
2.059 -2.035 -3.323
-1.043 -3.978 1.790
1.093 -0.900 4.256
0.000 0.000 0.000
2.136 3.078 2.466
```

Calculated values
* space-group type: No. 166
* E_form (uncorrected): -1.218 eV/atom


Entry 8:
Computed, not measured: a relaxed La4GeIBr2 crystal at the PBE level of DFT.

POSCAR file:
```
La4GeIBr2
1.0
-4.005 -0.051 -1.907
-1.556 -7.029 3.458
-2.216 5.514 4.506
La Ge I Br
4 1 1 2
Cartesian
-3.016 -0.592 1.192
-4.760 -0.974 4.865
-2.130 2.209 4.415
-1.642 -3.723 3.549
-2.780 -3.540 0.776
0.000 0.000 0.000
-3.110 2.731 1.299
-1.886 -0.757 3.982
```

Calculated values
* space-group type: No. 10
* E_form (uncorrected): -1.183 eV/atom


Entry 9:
Computed, not measured: a relaxed La6Ge2I3Br crystal at the PBE level of DFT.

POSCAR file:
```
La6Ge2I3Br
1.0
7.675 -0.005 -0.001
-3.840 6.646 -0.001
-1.280 -2.216 7.741
La Ge I Br
6 2 3 1
Cartesian
3.873 2.147 6.140
2.524 4.370 1.585
-1.318 2.277 1.600
-0.076 4.428 6.140
0.031 0.054 6.154
2.631 -0.003 1.600
-0.001 4.428 -0.001
3.836 2.212 -0.001
-2.570 4.434 3.870
5.125 -0.010 3.870
1.278 2.212 3.870
0.000 0.000 0.000
```

Calculated values
* space-group type: No. 12
* E_form (uncorrected): -1.132 eV/atom


Entry 10:
Computed, not measured: a relaxed La8Ge3I4Br crystal at the PBE level of DFT.

POSCAR file:
```
La8Ge3I4Br
1.0
-0.886 -7.220 -5.130
8.820 -2.286 1.695
-5.489 1.263 6.893
La Ge I Br
8 3 4 1
Cartesian
0.719 -2.137 6.615
3.371 -2.748 3.285
-0.537 -1.922 2.799
0.291 -5.625 4.137
2.154 -2.618 -0.679
2.982 -6.321 0.660
-0.926 -5.496 0.173
1.726 -6.106 -3.157
3.967 -4.753 -1.717
1.223 -4.122 1.729
1.665 -0.512 4.294
-0.443 -3.610 -2.565
-3.187 -2.979 0.881
0.000 0.000 0.000
-2.745 0.632 3.446
4.410 -1.143 0.848
```

Calculated values
* space-group type: No. 166
* E_form (uncorrected): -1.125 eV/atom


Entry 11:
Computed, not measured: a relaxed NaGeI2Br crystal at the PBE level of DFT.

POSCAR file:
```
NaGeI2Br
1.0
5.921 0.000 0.000
0.000 5.921 0.000
0.000 0.000 5.447
I Na Ge Br
2 1 1 1
Cartesian
0.000 2.960 0.000
2.960 0.000 0.000
2.960 2.960 2.724
0.000 0.000 0.000
0.000 0.000 2.724
```

Calculated values
* space-group type: No. 123
* E_form (uncorrected): -0.625 eV/atom


Entry 12:
Computed, not measured: a relaxed Na2GeIBr crystal at the PBE level of DFT.

POSCAR file:
```
Na2GeIBr
1.0
-2.291 4.108 -3.821
-2.940 -4.184 -2.735
-4.694 0.857 3.736
I Na Ge Br
1 2 1 1
Cartesian
0.000 0.000 0.000
-2.347 0.428 1.868
-1.146 2.054 -1.910
-1.470 -2.092 -1.367
-4.963 0.390 -1.410
```

Calculated values
* space-group type: No. 123
* E_form (uncorrected): -0.184 eV/atom


Number 1: total energy -51.9 eV for the cell shown, magnetic moment 0.00 μB per cell. Number 2: total energy -35.7 eV for the cell shown, magnetic moment 0.00 μB per cell. Number 3: total energy -14.9 eV for the cell shown, magnetic moment 0.94 μB per cell. Number 4: total energy -8.6 eV for the cell shown, magnetic moment 0.00 μB per cell. Number 5: total energy -11.2 eV for the cell shown, magnetic moment 0.00 μB per cell. Number 6: total energy -20.8 eV for the cell shown, magnetic moment 0.00 μB per cell. Number 7: total energy -81.0 eV for the cell shown, magnetic moment 0.00 μB per cell. Number 8: total energy -38.7 eV for the cell shown, magnetic moment 0.00 μB per cell. Number 9: total energy -58.7 eV for the cell shown, magnetic moment 0.00 μB per cell. Number 10: total energy -79.1 eV for the cell shown, magnetic moment 0.00 μB per cell. Number 11: total energy -13.8 eV for the cell shown, magnetic moment 0.00 μB per cell. Number 12: total energy -11.4 eV for the cell shown, magnetic moment 1.98 μB per cell.